# Tb2Cd3In2 | Alexandria via LeMat-Bulk | PBE | relaxed
data_Tb2Cd3In2
_chemical_formula_sum 'Tb4 Cd6 In4'
_cell_length_a 4.6816
_cell_length_b 22.0177
_cell_length_c 3.4470
_cell_angle_alpha 90.00
_cell_angle_beta 90.00
_cell_angle_gamma 90.00
_space_group_name_H-M_alt 'C m m m'
_space_group_IT_number 65
_space_group_name_Hall '-C 2 2'
loop_
_atom_site_label
_atom_site_type_symbol
_atom_site_fract_x
_atom_site_fract_y
_atom_site_fract_z
Tb1 Tb 0.0000 0.1510 0.0000
Cd1 Cd 0.0000 0.0000 0.0000
Cd2 Cd 0.0000 0.4310 0.5000
In1 In 0.0000 0.2885 0.5000
# Energy of formation from the pure elements ... -0.255 eV per atom
# E ... -2.752 eV per atom

=====

# Tb4Cd5In2 | Alexandria via LeMat-Bulk | PBE | relaxed
data_Tb4Cd5In2
_chemical_formula_sum 'Tb4 Cd5 In2'
_cell_length_a 7.9564
_cell_length_b 3.5389
_cell_length_c 10.2314
_cell_angle_alpha 90.00
_cell_angle_beta 95.61
_cell_angle_gamma 90.00
_space_group_name_H-M_alt 'P 1 2/m 1'
_space_group_IT_number 10
_space_group_name_Hall '-P 2y'
loop_
_atom_site_label
_atom_site_type_symbol
_atom_site_fract_x
_atom_site_fract_y
_atom_site_fract_z
Tb1 Tb 0.1699 0.0000 0.3903
Tb2 Tb 0.2783 0.0000 0.9383
Cd1 Cd 0.1884 0.5000 0.6608
Cd2 Cd 0.4423 0.5000 0.2055
Cd3 Cd 0.5000 0.5000 0.5000
In1 In 0.0650 0.5000 0.1371
# Energy of formation from the pure elements ... -0.294 eV per atom
# E ... -2.891 eV per atom